No. 1
{
  "formula": "Ca16Mg12Ga",
  "functional": "GGA-PBE",
  "state": "relaxed",
  "formation_energy_ev_per_atom": -0.0583,
  "crystal_system": "monoclinic",
  "rho_g_cm3": 1.79,
  "lattice": [[9.916, 0.096, -3.489], [-4.813, 8.671, -3.489], [0.063, 0.108, 10.667]],
  "species": ["Mg", "Mg", "Mg", "Mg", "Mg", "Mg", "Ca", "Ca", "Ca", "Mg", "Mg", "Ca", "Ca", "Ca", "Ca", "Ca", "Ca", "Ca", "Ca", "Mg", "Ca", "Ca", "Ca", "Mg", "Ga", "Mg", "Ca", "Ca", "Mg"],
  "fractional_positions": [[0.993, 0.370, 0.175], [0.999, 0.188, 0.356], [0.188, 0.999, 0.356], [0.802, 0.178, 0.817], [0.344, 0.156, 0.977], [0.815, 0.635, 0.633], [0.587, 0.285, 0.595], [0.642, 0.995, 0.004], [0.427, 0.659, 0.021], [0.370, 0.993, 0.175], [0.156, 0.344, 0.977], [0.995, 0.642, 0.004], [0.326, 0.714, 0.313], [0.292, 0.292, 0.695], [0.005, 0.005, 0.012], [0.689, 0.996, 0.405], [0.400, 0.992, 0.681], [0.996, 0.689, 0.405], [0.992, 0.400, 0.681], [0.178, 0.802, 0.817], [0.285, 0.587, 0.595], [0.990, 0.990, 0.659], [0.714, 0.326, 0.313], [0.827, 0.827, 0.193], [0.664, 0.664, 0.341], [0.635, 0.815, 0.633], [0.388, 0.388, 0.321], [0.659, 0.427, 0.021], [0.640, 0.640, 0.826]]
}

=====

No. 2
{
  "formula": "Ca4MgGa",
  "functional": "GGA-PBE",
  "state": "relaxed",
  "formation_energy_ev_per_atom": -0.1538,
  "crystal_system": "monoclinic",
  "rho_g_cm3": 2.08,
  "relative_energy_kj_per_mol_atoms": 0.0,
  "lattice": [[6.201, 0.110, -1.303], [-2.369, 7.688, -2.957], [0.193, -0.293, 8.564]],
  "species": ["Ca", "Ca", "Ca", "Mg", "Ga", "Ca", "Ca", "Ga", "Ca", "Ca", "Ca", "Mg"],
  "fractional_positions": [[0.638, 0.206, 0.367], [0.138, 0.367, 0.206], [0.443, 0.718, 0.066], [0.750, 0.621, 0.379], [0.250, 0.000, 0.000], [0.557, 0.282, 0.934], [0.057, 0.934, 0.282], [0.750, 0.000, 0.000], [0.362, 0.794, 0.633], [0.943, 0.066, 0.718], [0.862, 0.633, 0.794], [0.250, 0.379, 0.621]]
}

=====

No. 3
{
  "formula": "Ca3MgGa3",
  "functional": "GGA-PBE",
  "state": "relaxed",
  "formation_energy_ev_per_atom": -0.3877,
  "crystal_system": "orthorhombic",
  "rho_g_cm3": 3.23,
  "lattice": [[-1.128, 2.222, -3.813], [1.595, -5.696, -1.071], [-13.659, -4.132, 1.634]],
  "species": ["Mg", "Ca", "Ca", "Ga", "Ca", "Ca", "Ca", "Ga", "Mg", "Ga", "Ga", "Ga", "Ga", "Ca"],
  "fractional_positions": [[0.500, 0.000, 0.000], [0.211, 0.423, 0.607], [0.211, 0.423, 0.893], [0.083, 0.167, 0.098], [0.508, 0.016, 0.250], [0.492, 0.984, 0.750], [0.789, 0.577, 0.393], [0.782, 0.564, 0.750], [0.500, 0.000, 0.500], [0.218, 0.436, 0.250], [0.917, 0.833, 0.902], [0.083, 0.167, 0.402], [0.917, 0.833, 0.598], [0.789, 0.577, 0.107]]
}

=====

No. 4
{
  "formula": "Ca4Mg2Ga",
  "functional": "GGA-PBE",
  "state": "relaxed",
  "formation_energy_ev_per_atom": -0.0790,
  "crystal_system": "trigonal",
  "rho_g_cm3": 2.03,
  "lattice": [[0.732, -1.037, 5.273], [-1.888, -4.611, 2.145], [7.362, -5.926, 0.602]],
  "species": ["Ca", "Ca", "Mg", "Ca", "Mg", "Ga", "Ca"],
  "fractional_positions": [[0.124, 0.124, 0.629], [0.626, 0.626, 0.121], [0.748, 0.748, 0.757], [0.374, 0.374, 0.879], [0.252, 0.252, 0.243], [0.000, 0.000, 0.000], [0.876, 0.876, 0.371]]
}

=====

No. 5
{
  "formula": "Ca2Mg2Ga",
  "functional": "GGA-PBE",
  "state": "relaxed",
  "formation_energy_ev_per_atom": 0.1036,
  "crystal_system": "tetragonal",
  "rho_g_cm3": 2.10,
  "relative_energy_kj_per_mol_atoms": 19.0,
  "lattice": [[-5.860, 3.174, 4.658], [1.422, -5.670, 5.651], [3.179, 2.849, 2.058]],
  "species": ["Mg", "Mg", "Ca", "Ca", "Mg", "Ga", "Ca", "Ca", "Ga", "Mg"],
  "fractional_positions": [[0.643, 0.857, 0.500], [0.143, 0.643, 0.500], [0.658, 0.158, 0.000], [0.342, 0.842, 0.000], [0.857, 0.357, 0.500], [0.000, 0.000, 0.000], [0.158, 0.342, 0.000], [0.842, 0.658, 0.000], [0.500, 0.500, 0.000], [0.357, 0.143, 0.500]]
}

=====

No. 6
{
  "formula": "CaMg10Ga3",
  "functional": "GGA-PBE",
  "state": "relaxed",
  "formation_energy_ev_per_atom": -0.0484,
  "crystal_system": "cubic",
  "rho_g_cm3": 2.41,
  "lattice": [[8.543, 0.000, 4.932], [2.848, 8.055, 4.932], [0.000, 0.000, 9.865]],
  "species": ["Mg", "Mg", "Mg", "Mg", "Mg", "Mg", "Ga", "Mg", "Mg", "Ga", "Ca", "Mg", "Mg", "Ga", "Mg", "Mg", "Mg", "Mg", "Mg", "Ga", "Mg", "Ga", "Mg", "Ga", "Ca", "Mg", "Mg", "Mg"],
  "fractional_positions": [[0.656, 0.000, 0.344], [0.000, 0.000, 0.656], [0.386, 0.386, 0.841], [0.656, 0.000, 0.000], [0.159, 0.614, 0.614], [0.386, 0.841, 0.386], [0.735, 0.735, 0.265], [0.344, 0.000, 0.000], [0.614, 0.159, 0.614], [0.265, 0.735, 0.735], [0.750, 0.750, 0.750], [0.386, 0.386, 0.386], [0.344, 0.000, 0.656], [0.265, 0.265, 0.735], [0.000, 0.656, 0.344], [0.000, 0.000, 0.344], [0.344, 0.656, 0.000], [0.614, 0.614, 0.159], [0.614, 0.614, 0.614], [0.265, 0.735, 0.265], [0.000, 0.344, 0.000], [0.735, 0.265, 0.265], [0.841, 0.386, 0.386], [0.735, 0.265, 0.735], [0.250, 0.250, 0.250], [0.000, 0.344, 0.656], [0.656, 0.344, 0.000], [0.000, 0.656, 0.000]]
}

=====

No. 7
{
  "formula": "CaMg2Ga6",
  "functional": "GGA-PBE",
  "state": "relaxed",
  "formation_energy_ev_per_atom": -0.2169,
  "crystal_system": "hexagonal",
  "rho_g_cm3": 4.70,
  "relative_energy_kj_per_mol_atoms": 1.8,
  "lattice": [[-3.379, -0.339, -0.014], [0.322, -2.916, -7.230], [0.455, -4.773, 6.156]],
  "species": ["Ca", "Mg", "Ga", "Ga", "Ga", "Ga", "Ga", "Ga", "Mg"],
  "fractional_positions": [[0.000, 0.000, 0.000], [0.000, 0.667, 0.333], [0.500, 0.000, 0.662], [0.500, 0.662, 0.000], [0.500, 0.000, 0.338], [0.500, 0.338, 0.000], [0.500, 0.338, 0.338], [0.500, 0.662, 0.662], [0.000, 0.333, 0.667]]
}

=====

No. 8
{
  "formula": "CaMg4Ga",
  "functional": "GGA-PBE",
  "state": "relaxed",
  "formation_energy_ev_per_atom": -0.1472,
  "crystal_system": "orthorhombic",
  "rho_g_cm3": 2.34,
  "relative_energy_kj_per_mol_atoms": 0.0,
  "lattice": [[-3.919, 1.360, 1.434], [0.630, -4.690, 6.169], [3.816, 6.334, 4.426]],
  "species": ["Ga", "Ca", "Mg", "Mg", "Mg", "Mg", "Mg", "Ga", "Ca", "Mg", "Mg", "Mg"],
  "fractional_positions": [[0.000, 0.785, 0.250], [0.000, 0.611, 0.750], [0.500, 0.046, 0.250], [0.500, 0.307, 0.941], [0.000, 0.000, 0.500], [0.500, 0.307, 0.559], [0.000, 0.000, 0.000], [0.000, 0.215, 0.750], [0.000, 0.389, 0.250], [0.500, 0.954, 0.750], [0.500, 0.693, 0.441], [0.500, 0.693, 0.059]]
}

=====

No. 9
{
  "formula": "CaMgGaN2",
  "functional": "GGA-PBE",
  "state": "relaxed",
  "e_form_raw_ev_per_fu": -1.32,
  "crystal_system": "monoclinic",
  "rho_g_cm3": 3.31,
  "lattice": [[4.795, 0.000, 0.000], [0.000, 5.696, 0.509], [0.000, -1.185, 5.856]],
  "species": ["N", "Ca", "N", "Mg", "Ga", "N", "N", "Mg", "Ca", "Ga"],
  "fractional_positions": [[0.303, 0.781, 0.479], [0.288, 0.500, 0.750], [0.303, 0.219, 0.021], [0.514, 0.000, 0.750], [0.000, 0.000, 0.000], [0.697, 0.781, 0.979], [0.697, 0.219, 0.521], [0.486, 0.000, 0.250], [0.712, 0.500, 0.250], [0.000, 0.000, 0.500]]
}

=====

No. 10
{
  "formula": "NaCa2MgGa",
  "functional": "GGA-PBE",
  "state": "relaxed",
  "formation_energy_ev_per_atom": -0.0340,
  "crystal_system": "tetragonal",
  "rho_g_cm3": 1.84,
  "lattice": [[5.872, 0.000, 0.000], [0.000, 5.872, 0.000], [0.000, 0.000, 5.153]],
  "species": ["Na", "Ga", "Ca", "Mg", "Ca"],
  "fractional_positions": [[0.500, 0.500, 0.500], [0.000, 0.000, 0.000], [0.500, 0.000, 0.000], [0.000, 0.000, 0.500], [0.000, 0.500, 0.000]]
}

=====

No. 11
{
  "formula": "CaNdMgGa",
  "functional": "GGA-PBE",
  "state": "relaxed",
  "formation_energy_ev_per_atom": -0.3065,
  "crystal_system": "cubic",
  "rho_g_cm3": 4.30,
  "lattice": [[5.336, 0.000, 0.000], [2.668, 4.621, 0.000], [2.668, 1.540, 4.357]],
  "species": ["Mg", "Ca", "Ga", "Nd"],
  "fractional_positions": [[0.750, 0.750, 0.750], [0.500, 0.500, 0.500], [0.250, 0.250, 0.250], [0.000, 0.000, 0.000]]
}

=====

No. 12
{
  "formula": "Ca2MgGaNi",
  "functional": "GGA-PBE",
  "state": "relaxed",
  "formation_energy_ev_per_atom": -0.1419,
  "crystal_system": "tetragonal",
  "rho_g_cm3": 2.90,
  "lattice": [[-5.142, -0.422, -1.526], [1.551, -2.384, -4.568], [-0.273, -4.116, 2.056]],
  "species": ["Ga", "Ca", "Ca", "Ni", "Mg"],
  "fractional_positions": [[0.000, 0.000, 0.500], [0.000, 0.500, 0.000], [0.500, 0.000, 0.000], [0.000, 0.000, 0.000], [0.500, 0.500, 0.500]]
}